A) FeAsCl2 at its PBEsol-relaxed geometry. Source: the Alexandria database, functional meta-GGA SCAN.

Summary:
The calculation puts the total magnetization at 3.2 μB per formula unit. The mass density comes out at 4.3 g/cm3.

a = 3.2848 Å, b = 3.2848 Å, c = 8.5116 Å
α = 90.00°, β = 90.00°, γ = 121.16°
Last column: magnetic moment on the atom in μB.
Positions (direct):
As 0.5000 0.5000 0.2839  -0.07
Fe 0.0000 0.0000 0.4923  3.15
Cl 0.0000 0.0000 0.0468  -0.03
Cl 0.5000 0.5000 0.6771  0.11

---

B) FeAsCl2 at its PBEsol-relaxed geometry. Source: the Alexandria database, functional meta-GGA SCAN.

Summary:
The calculation puts the total magnetization at 3.0 μB per formula unit. The mass density comes out at 3.6 g/cm3.

a = 3.1046 Å, b = 4.8935 Å, c = 6.7395 Å
α = 111.29°, β = 103.32°, γ = 90.00°
Last column: magnetic moment on the atom in μB.
Positions (direct):
As 0.1246 0.6246 0.2492  -0.14
Fe 0.4726 0.4726 0.9452  3.02
Cl 0.0630 0.0630 0.1260  0.02
Cl 0.8398 0.3398 0.6796  0.10

---

In order of decreasing stability: B), A).

---

A) FeAsCl2 at its PBEsol-relaxed geometry. Source: the Alexandria database, functional meta-GGA SCAN.

Summary:
The calculation puts the total magnetization at 0.0 μB per formula unit. The mass density comes out at 4.2 g/cm3.

a = 3.1406 Å, b = 3.1406 Å, c = 9.5032 Å
α = 80.49°, β = 80.49°, γ = 60.00°
Positions (direct):
As 0.0000 0.0000 0.0000
Fe 0.5000 0.5000 0.5000
Cl 0.2126 0.2126 0.3622
Cl 0.7874 0.7874 0.6378

---

B) FeAsCl2 at its PBEsol-relaxed geometry. Source: the Alexandria database, functional meta-GGA SCAN.

Summary:
The calculation puts the total magnetization at 2.3 μB per formula unit. The mass density comes out at 4.5 g/cm3.

a = 3.2191 Å, b = 4.7247 Å, c = 5.1199 Å
α = 107.11°, β = 90.00°, γ = 90.00°
Last column: magnetic moment on the atom in μB.
Positions (direct):
As 0.5000 0.3248 0.6569  -0.24
Fe 0.0000 0.5264 0.9963  2.61
Cl 0.0000 0.0082 0.9921  0.02
Cl 0.5000 0.6407 0.3546  0.01

---

In order of decreasing stability: B), A).

---

A) Fe2AsCl at its PBEsol-relaxed geometry. Source: the Alexandria database, functional meta-GGA SCAN.

Summary:
The calculation puts the total magnetization at 5.7 μB per formula unit. The mass density comes out at 6.2 g/cm3.

a = 3.0281 Å, b = 3.1865 Å, c = 6.1519 Å
α = 90.00°, β = 90.00°, γ = 90.00°
Last column: magnetic moment on the atom in μB.
Positions (direct):
As 0.5000 0.0000 0.5000  -0.07
Fe 0.0000 0.5001 0.6877  2.85
Fe 0.0000 0.4999 0.3123  2.85
Cl 0.5000 0.5000 0.0000  0.08

---

B) Fe2AsCl at its PBEsol-relaxed geometry. Source: the Alexandria database, functional meta-GGA SCAN.

Summary:
The calculation puts the total magnetization at 5.4 μB per formula unit. The mass density comes out at 6.7 g/cm3.

a = 2.9946 Å, b = 2.9946 Å, c = 7.3205 Å
α = 78.20°, β = 78.20°, γ = 60.00°
Last column: magnetic moment on the atom in μB.
Positions (direct):
As 0.5000 0.5000 0.5000  -0.13
Fe 0.2480 0.2480 0.2559  2.77
Fe 0.7520 0.7520 0.7441  2.77
Cl 0.0000 0.0000 0.0000  0.10

---

In order of decreasing stability: A), B).

---

A) HgAs2Cl at its PBEsol-relaxed geometry. Source: the Alexandria database, functional meta-GGA SCAN.

Summary:
The calculation puts the total magnetization at 0.0 μB per formula unit. The mass density comes out at 7.5 g/cm3.

a = 3.3042 Å, b = 3.3042 Å, c = 8.4445 Å
α = 90.00°, β = 90.00°, γ = 112.77°
Positions (direct):
As 0.0000 0.0000 0.9825
As 0.5000 0.5000 0.7744
Hg 0.5000 0.5000 0.2538
Cl 0.0000 0.0000 0.4892

---

B) HgAs2Cl at its PBEsol-relaxed geometry. Source: the Alexandria database, functional meta-GGA SCAN.

Summary:
The calculation puts the total magnetization at 0.0 μB per formula unit. The mass density comes out at 7.5 g/cm3.

a = 4.1022 Å, b = 4.1022 Å, c = 5.7809 Å
α = 109.21°, β = 109.21°, γ = 94.16°
Positions (direct):
As 0.5000 0.0000 0.5000
As 0.0000 0.5000 0.5000
Hg 0.5000 0.5000 0.0000
Cl 0.0000 0.0000 0.0000

---

In order of decreasing stability: A), B).

---

A) Hg2AsCl at its PBEsol-relaxed geometry. Source: the Alexandria database, functional meta-GGA SCAN.

Summary:
The calculation puts the total magnetization at 0.0 μB per formula unit. The mass density comes out at 9.8 g/cm3.

a = 3.1197 Å, b = 3.1859 Å, c = 9.9845 Å
α = 90.00°, β = 90.00°, γ = 119.31°
Positions (direct):
As 0.0000 0.0000 0.5192
Hg 0.0000 0.0000 0.9944
Hg 0.5000 0.0000 0.2660
Cl 0.5000 0.0000 0.7203

---

B) Hg2AsCl at its PBEsol-relaxed geometry. Source: the Alexandria database, functional meta-GGA SCAN.

Summary:
The calculation puts the total magnetization at 0.0 μB per formula unit. The mass density comes out at 10.1 g/cm3.

a = 4.9132 Å, b = 4.9132 Å, c = 4.9132 Å
α = 60.00°, β = 60.00°, γ = 60.00°
Positions (direct):
As 0.5000 0.5000 0.5000
Hg 0.0000 0.0000 0.0000
Hg 0.7500 0.7500 0.7500
Cl 0.2500 0.2500 0.2500

---

C) Hg2AsCl at its PBEsol-relaxed geometry. Source: the Alexandria database, functional meta-GGA SCAN.

Summary:
The calculation puts the total magnetization at 0.0 μB per formula unit. The mass density comes out at 9.0 g/cm3.

a = 4.0501 Å, b = 4.0501 Å, c = 7.0328 Å
α = 73.27°, β = 73.27°, γ = 60.00°
Positions (direct):
As 0.5000 0.5000 0.5000
Hg 0.2388 0.2388 0.2837
Hg 0.7612 0.7612 0.7163
Cl 0.0000 0.0000 0.0000

---

D) Hg2AsCl at its PBEsol-relaxed geometry. Source: the Alexandria database, functional meta-GGA SCAN.

Summary:
The calculation puts the total magnetization at 0.0 μB per formula unit. The mass density comes out at 7.1 g/cm3.

a = 5.9917 Å, b = 5.9917 Å, c = 7.8641 Å
α = 112.39°, β = 112.39°, γ = 90.00°
Positions (direct):
As 0.2500 0.7500 0.5000
As 0.0000 0.0000 0.0000
Hg 0.3230 0.8750 0.2500
Hg 0.9270 0.3750 0.2500
Hg 0.1250 0.0730 0.7500
Hg 0.6250 0.6770 0.7500
Cl 0.7500 0.2500 0.5000
Cl 0.5000 0.5000 0.0000

---

In order of decreasing stability: D), C), A), B).

---

A) HgAsCl2 at its PBEsol-relaxed geometry. Source: the Alexandria database, functional meta-GGA SCAN.

Summary:
The calculation puts the total magnetization at 0.0 μB per formula unit. The mass density comes out at 5.4 g/cm3.

a = 3.4582 Å, b = 4.4060 Å, c = 7.5563 Å
α = 91.88°, β = 90.00°, γ = 113.11°
Positions (direct):
As 0.8289 0.6577 0.2893
Hg 0.5119 0.0238 0.4866
Cl 0.9635 0.9271 0.0464
Cl 0.1957 0.3913 0.6776

---

B) HgAsCl2 at its PBEsol-relaxed geometry. Source: the Alexandria database, functional meta-GGA SCAN.

Summary:
The calculation puts the total magnetization at 0.0 μB per formula unit. The mass density comes out at 6.0 g/cm3.

a = 3.6654 Å, b = 3.5694 Å, c = 8.6099 Å
α = 90.00°, β = 90.00°, γ = 120.89°
Positions (direct):
As 0.5000 0.0000 0.7435
Hg 0.0000 0.0000 0.5092
Cl 0.0000 0.0000 0.9449
Cl 0.5000 0.0000 0.3024

---

In order of decreasing stability: A), B).